# 1
Material: Sc4TiAl2
Method: DFT, PBE
State: relaxed

```
data_Sc4TiAl2
_chemical_formula_sum 'Sc12 Ti3 Al6'
_symmetry_space_group_name_H-M 'R -3 m'
_symmetry_Int_Tables_number 166
_symmetry_space_group_name_Hall '-R 3 2"'
_cell_length_a 4.8192
_cell_length_b 4.8192
_cell_length_c 21.7561
_cell_angle_alpha 90.00
_cell_angle_beta 90.00
_cell_angle_gamma 120.00
loop_
_atom_site_label
_atom_site_type_symbol
_atom_site_fract_x
_atom_site_fract_y
_atom_site_fract_z
Sc1 Sc 0.0000 0.0000 0.0960
Sc2 Sc 0.0000 0.0000 0.3672
Ti1 Ti 0.0000 0.0000 0.5000
Al1 Al 0.0000 0.0000 0.2293
```

Output
Size of the total moment   0.00 Bohr magnetons per cell
Energy relative to the elements   -0.19 eV/atom
Volume   145.9 Å³/f.u.

---

# 2
Material: Cd2Pd2Pb
Method: DFT, PBE
State: relaxed

```
data_Cd2Pd2Pb
_chemical_formula_sum 'Cd4 Pd4 Pb2'
_symmetry_space_group_name_H-M 'I 4/m m m'
_symmetry_Int_Tables_number 139
_symmetry_space_group_name_Hall '-I 4 2'
_cell_length_a 4.025
_cell_length_b 4.025
_cell_length_c 13.231
_cell_angle_alpha 90.00
_cell_angle_beta 90.00
_cell_angle_gamma 90.00
loop_
_atom_site_label
_atom_site_type_symbol
_atom_site_fract_x
_atom_site_fract_y
_atom_site_fract_z
Cd1 Cd 0.000 0.500 0.250
Pd1 Pd 0.000 0.000 0.101
Pb1 Pb 0.000 0.000 0.500
```

Output
Size of the total moment   0.00 Bohr magnetons per cell
Energy relative to the elements   -0.15 eV/atom
Volume   107.2 Å³/f.u.

---

Question: Look up the volume of the first one.
Answer: 145.9 Å³/f.u.